No. 1
{
  "formula": "TaHgCl2",
  "functional": "PBE",
  "state": "optimized geometry",
  "lattice_angstrom": [[5.5478, 0.0005, 0.0000], [2.2666, 5.0636, 0.0000], [-3.9072, -2.5320, 3.0167]],
  "species": ["Ta", "Cl", "Cl", "Hg"],
  "frac_coords": [[0.7500, 0.2500, 0.5000], [0.0000, 0.0000, 0.0000], [0.2500, 0.7500, 0.5000], [0.5000, 0.5000, 0.0000]],
  "de_polymorph_mev_per_atom": 1159,
  "formation_energy_uncorrected_ev_per_atom": 0.5817,
  "magmom_total_mub_per_cell": 2.847
}


No. 2
{
  "formula": "NbSiSe2Br",
  "functional": "PBE",
  "state": "optimized geometry",
  "lattice_angstrom": [[-2.8643, -3.3138, -2.5464], [4.1772, -2.3657, -1.6199], [-0.1316, -3.0642, 4.1358]],
  "species": ["Se", "Se", "Nb", "Si", "Br"],
  "frac_coords": [[0.5000, 0.0000, 0.0000], [0.0000, 0.5000, 0.0000], [0.0000, 0.0000, 0.0000], [0.5000, 0.5000, 0.5000], [0.0000, 0.0000, 0.5000]],
  "de_polymorph_mev_per_atom": 0,
  "formation_energy_uncorrected_ev_per_atom": 0.2691,
  "magmom_total_mub_per_cell": 1.287
}


No. 3
{
  "formula": "K3Te",
  "functional": "PBE",
  "state": "optimized geometry",
  "lattice_angstrom": [[4.9271, 0.0000, 0.0000], [0.0000, 4.9332, 0.0000], [0.0000, 0.0000, 9.0999]],
  "species": ["Te", "K", "K", "K"],
  "frac_coords": [[0.0000, 0.0000, 0.0831], [0.0000, 0.5000, 0.3838], [0.5000, 0.0000, 0.7833], [0.5000, 0.5000, 0.0831]],
  "de_polymorph_mev_per_atom": 52,
  "formation_energy_uncorrected_ev_per_atom": -0.5915,
  "magmom_total_mub_per_cell": 0.000
}


No. 4
{
  "formula": "CoBi",
  "functional": "PBE",
  "state": "optimized geometry",
  "lattice_angstrom": [[-4.3408, -5.2203, -4.6757], [8.4469, 1.0012, -8.9596], [3.5107, -5.3484, 2.7121]],
  "species": ["Bi", "Bi", "Bi", "Bi", "Bi", "Bi", "Bi", "Bi", "Bi", "Bi", "Bi", "Bi", "Bi", "Bi", "Bi", "Bi", "Co", "Co", "Co", "Co", "Co", "Co", "Co", "Co", "Co", "Co", "Co", "Co", "Co", "Co", "Co", "Co"],
  "frac_coords": [[0.2140, 0.0000, 0.5000], [0.4640, 0.2500, 0.2500], [0.5360, 0.2500, 0.7500], [0.7140, 0.0000, 0.0000], [0.9640, 0.7500, 0.2500], [0.0360, 0.7500, 0.7500], [0.7140, 0.5000, 0.5000], [0.2860, 0.0000, 0.0000], [0.2860, 0.5000, 0.5000], [0.9640, 0.2500, 0.7500], [0.0360, 0.2500, 0.2500], [0.4640, 0.7500, 0.7500], [0.5360, 0.7500, 0.2500], [0.7860, 0.5000, 0.0000], [0.2140, 0.5000, 0.0000], [0.7860, 0.0000, 0.5000], [0.5000, 0.9019, 0.5000], [0.7500, 0.3481, 0.2500], [0.0000, 0.5981, 0.5000], [0.2500, 0.3481, 0.7500], [0.2500, 0.8481, 0.2500], [0.7500, 0.1519, 0.2500], [0.0000, 0.0981, 0.0000], [0.2500, 0.6519, 0.2500], [0.5000, 0.0981, 0.5000], [0.0000, 0.4019, 0.5000], [0.5000, 0.4019, 0.0000], [0.5000, 0.5981, 0.0000], [0.7500, 0.8481, 0.7500], [0.2500, 0.1519, 0.7500], [0.0000, 0.9019, 0.0000], [0.7500, 0.6519, 0.7500]],
  "ef_ev_per_atom": 0.478,
  "magmom_total_mub_per_cell": 13.066
}


No. 5
{
  "formula": "Cs4KTl3Br12",
  "functional": "PBE",
  "state": "optimized geometry",
  "lattice_angstrom": [[10.2127, 0.0000, 0.0000], [-3.4042, 9.6286, 0.0000], [-3.4042, -4.8143, 8.3386]],
  "species": ["Br", "Br", "Br", "Br", "Br", "Br", "Br", "Br", "Br", "Br", "Br", "Br", "Cs", "Cs", "Cs", "Cs", "Tl", "Tl", "Tl", "K"],
  "frac_coords": [[0.7500, 0.5000, 0.2500], [0.7379, 0.0000, 0.7379], [0.2621, 0.2621, 0.0000], [0.5000, 0.7500, 0.2500], [0.2621, 0.0000, 0.2621], [0.0000, 0.7379, 0.7379], [0.5000, 0.2500, 0.7500], [0.7500, 0.2500, 0.5000], [0.7379, 0.7379, 0.0000], [0.2500, 0.5000, 0.7500], [0.0000, 0.2621, 0.2621], [0.2500, 0.7500, 0.5000], [0.5000, 0.5000, 0.5000], [0.5000, 0.0000, 0.0000], [0.0000, 0.5000, 0.0000], [0.0000, 0.0000, 0.5000], [0.0000, 0.5000, 0.5000], [0.5000, 0.5000, 0.0000], [0.5000, 0.0000, 0.5000], [0.0000, 0.0000, 0.0000]],
  "formation_energy_uncorrected_ev_per_atom": -1.1668,
  "magmom_total_mub_per_cell": 0.000
}


No. 6
{
  "formula": "Na2ScMnS4",
  "functional": "PBE",
  "state": "optimized geometry",
  "lattice_angstrom": [[3.7249, 0.0000, 0.0000], [0.0000, 6.3280, 0.1150], [0.0000, -2.2081, 6.5778]],
  "species": ["Sc", "Na", "Na", "S", "S", "S", "S", "Mn"],
  "frac_coords": [[0.0000, 0.0000, 0.0000], [0.5000, 0.0000, 0.5000], [0.0000, 0.5000, 0.5000], [0.0000, 0.7296, 0.2098], [0.5000, 0.7485, 0.7905], [0.5000, 0.2515, 0.2095], [0.0000, 0.2704, 0.7902], [0.5000, 0.5000, 0.0000]],
  "formation_energy_uncorrected_ev_per_atom": -1.2558,
  "magmom_total_mub_per_cell": 4.000
}